Compound: MgPt2Rh
Source: Alexandria
Functional: GGA-PBE
Structure: optimized geometry

```
MgPt2Rh
1.0
3.337 0.000 0.000
0.000 3.337 0.000
0.000 0.000 5.653
Mg Pt Rh
1 2 1
Direct
0.000 0.000 0.000
0.000 0.000 0.512
0.500 0.500 0.242
0.500 0.500 0.731
```

## Properties
The formation energy comes out at -0.28 eV per atom. The calculation puts the total energy at -5.538 eV per atom. As for the space-group type: P4mm. Its total magnetization is 0.0 Bohr magnetons per cell. Its density of states at the Fermi level is 2.80 states/eV per cell.

Compound: HgGeOs3
Source: Alexandria
Functional: GGA-PBE
Structure: optimized geometry

```
HgGeOs3
1.0
4.978 0.000 0.000
0.000 4.978 0.000
0.000 0.000 4.978
Hg Ge Os
1 1 3
Direct
0.000 0.000 0.000
0.500 0.500 0.500
0.000 0.000 0.500
0.000 0.500 0.000
0.500 0.000 0.000
```

## Properties
The formation energy comes out at 3.17 eV per atom. The calculation puts the total energy at -4.551 eV per atom. As for the space-group type: Pm-3m. Its total magnetization is 6.2 Bohr magnetons per cell. Its density of states at the Fermi level is 7.09 states/eV per cell.

Compound: HfTlFe3
Source: Alexandria
Functional: GGA-PBE
Structure: optimized geometry

```
HfTlFe3
1.0
4.663 0.000 0.000
0.000 4.663 0.000
0.000 0.000 4.663
Hf Tl Fe
1 1 3
Direct
0.000 0.000 0.000
0.500 0.500 0.500
0.000 0.000 0.500
0.000 0.500 0.000
0.500 0.000 0.000
```

## Properties
The formation energy comes out at 1.36 eV per atom. The calculation puts the total energy at -6.181 eV per atom. As for the space-group type: Pm-3m. Its total magnetization is 5.9 Bohr magnetons per cell. Its density of states at the Fermi level is 6.01 states/eV per cell.

Compound: DyY2Ho6Tm3
Source: Alexandria
Functional: GGA-PBE
Structure: optimized geometry

```
DyY2Ho6Tm3
1.0
3.054 -5.282 0.000
3.054 5.282 0.000
-2.028 0.000 11.501
Dy Y Ho Tm
1 2 6 3
Direct
0.000 0.000 0.000
0.333 0.667 0.000
0.667 0.333 0.000
0.084 0.417 0.252
0.248 0.248 0.748
0.417 0.084 0.252
0.583 0.916 0.748
0.752 0.752 0.252
0.916 0.583 0.748
0.167 0.833 0.500
0.500 0.500 0.500
0.833 0.167 0.500
```

## Properties
The formation energy comes out at 0.02 eV per atom. The calculation puts the total energy at -4.844 eV per atom. As for the space-group type: C2/m. Its total magnetization is 0.0 Bohr magnetons per cell. Its density of states at the Fermi level is 17.01 states/eV per cell.

Compound: LiPr2Pt3
Source: Alexandria
Functional: GGA-PBE
Structure: optimized geometry

```
LiPr2Pt3
1.0
4.478 0.000 0.000
-2.239 3.878 0.000
0.000 0.000 15.389
Li Pr Pt
2 4 6
Direct
0.333 0.667 0.250
0.667 0.333 0.750
0.000 0.000 0.123
0.000 0.000 0.377
0.000 0.000 0.623
0.000 0.000 0.877
0.333 0.667 0.007
0.333 0.667 0.493
0.333 0.667 0.750
0.667 0.333 0.250
0.667 0.333 0.507
0.667 0.333 0.993
```

## Properties
The formation energy comes out at -0.82 eV per atom. The calculation puts the total energy at -5.757 eV per atom. As for the space-group type: P6_3/mmc. Its total magnetization is 0.0 Bohr magnetons per cell. Its density of states at the Fermi level is 10.61 states/eV per cell.

Compound: P2OsRu
Source: Alexandria
Functional: GGA-PBE
Structure: optimized geometry

```
P2OsRu
1.0
2.855 0.000 0.000
0.000 2.855 0.000
0.000 0.000 7.606
P Os Ru
2 1 1
Direct
0.000 0.000 0.000
0.500 0.500 0.380
0.500 0.500 0.822
0.000 0.000 0.557
```

## Properties
The formation energy comes out at -0.03 eV per atom. The calculation puts the total energy at -7.859 eV per atom. As for the space-group type: P4mm. Its total magnetization is 0.0 Bohr magnetons per cell. Its density of states at the Fermi level is 3.01 states/eV per cell.